The following is a GGA-PBE calculation of an optimized crystal structure of DyTmMgPt, from Alexandria.

Calculated values
V = 91.0 Å³ per cell
ΔE_f = -0.615 eV/atom

a b c (Å): 5.048 5.048 5.048
angles (deg): 60.00 60.00 60.00
Positions (direct):
Mg: 0.250 0.250 0.250
Tm: 0.500 0.500 0.500
Pt: 0.750 0.750 0.750
Dy: 0.000 0.000 0.000

***

The following is a GGA-PBE calculation of an optimized crystal structure of DyYMgPt, from Alexandria.

Calculated values
V = 93.2 Å³ per cell
ΔE_f = -0.601 eV/atom

a b c (Å): 5.089 5.089 5.089
angles (deg): 60.00 60.00 60.00
Positions (direct):
Y: 0.500 0.500 0.500
Pt: 0.750 0.750 0.750
Mg: 0.250 0.250 0.250
Dy: 0.000 0.000 0.000

***

The following is a GGA-PBE calculation of an optimized crystal structure of DyMgZn2Pt2, from Alexandria.

Calculated values
V = 109.4 Å³ per cell
ΔE_f = -0.795 eV/atom

a b c (Å): 4.414 4.414 6.480
angles (deg): 90.00 90.00 120.00
Positions (direct):
Pt: 0.333 0.667 0.725
Mg: 0.000 0.000 0.500
Zn: 0.333 0.667 0.296
Pt: 0.667 0.333 0.275
Dy: 0.000 0.000 0.000
Zn: 0.667 0.333 0.704

***

The following is a GGA-PBE calculation of an optimized crystal structure of DyMgZnPt, from Alexandria.

Calculated values
V = 77.4 Å³ per cell
ΔE_f = -0.693 eV/atom

a b c (Å): 4.785 4.785 4.785
angles (deg): 60.00 60.00 60.00
Positions (direct):
Pt: 0.750 0.750 0.750
Mg: 0.500 0.500 0.500
Dy: 0.000 0.000 0.000
Zn: 0.250 0.250 0.250

***

The following is a GGA-PBE calculation of an optimized crystal structure of DyMg2ZnPt4, from Alexandria.

Calculated values
V = 137.2 Å³ per cell
ΔE_f = -0.839 eV/atom

a b c (Å): 4.564 4.564 8.048
angles (deg): 73.53 73.53 60.00
Positions (direct):
Pt: 0.872 0.872 0.385
Pt: 0.614 0.614 0.159
Mg: 0.754 0.754 0.738
Pt: 0.128 0.128 0.615
Pt: 0.386 0.386 0.841
Mg: 0.246 0.246 0.262
Zn: 0.500 0.500 0.500
Dy: 0.000 0.000 0.000

***

The following is a GGA-PBE calculation of an optimized crystal structure of DyPuMg, from Alexandria.

Calculated values
ΔE to the lowest computed polymorph = 0.004 eV per atom
V = 82.4 Å³ per cell
ΔE_f = 0.113 eV/atom

a b c (Å): 3.334 3.334 7.778
angles (deg): 102.38 102.38 90.00
Last column: magnetic moment on the atom in μB.
Positions (direct):
Pu: 0.330 0.330 0.661  5.54
Dy: 0.003 0.003 0.006  0.03
Mg: 0.667 0.667 0.333  0.00

***

The following is a GGA-PBE calculation of an optimized crystal structure of DyPuMg2, from Alexandria.

Calculated values
ΔE to the lowest computed polymorph = 0.018 eV per atom
V = 108.5 Å³ per cell
ΔE_f = 0.099 eV/atom

a b c (Å): 5.354 5.354 5.354
angles (deg): 60.00 60.00 60.00
Last column: magnetic moment on the atom in μB.
Positions (direct):
Dy: 0.000 0.000 0.000  0.24
Mg: 0.750 0.750 0.750  0.00
Mg: 0.250 0.250 0.250  0.00
Pu: 0.500 0.500 0.500  5.54

***

The following is a GGA-PBE calculation of an optimized crystal structure of DyPuMg2, from Alexandria.

Calculated values
ΔE to the lowest computed polymorph = 0.201 eV per atom
V = 109.8 Å³ per cell
ΔE_f = 0.283 eV/atom

a b c (Å): 3.213 3.213 12.424
angles (deg): 82.57 82.57 60.00
Last column: magnetic moment on the atom in μB.
Positions (direct):
Dy: 0.000 0.000 0.000  0.02
Mg: 0.088 0.088 0.735  0.00
Mg: 0.912 0.912 0.265  0.00
Pu: 0.500 0.500 0.500  5.56

***

The following is a GGA-PBE calculation of an optimized crystal structure of DyPuMg2, from Alexandria.

Calculated values
ΔE to the lowest computed polymorph = 0.000 eV per atom
V = 105.1 Å³ per cell
ΔE_f = 0.081 eV/atom

a b c (Å): 3.233 3.233 10.056
angles (deg): 90.00 90.00 90.00
Last column: magnetic moment on the atom in μB.
Positions (direct):
Pu: 0.500 0.500 0.000  -5.61
Dy: 0.500 0.500 0.500  0.03
Mg: 0.000 0.000 0.252  0.00
Mg: 0.000 0.000 0.748  0.00

***

The following is a GGA-PBE calculation of an optimized crystal structure of Dy4PuMg5, from Alexandria.

Calculated values
V = 270.8 Å³ per cell
ΔE_f = -0.010 eV/atom

a b c (Å): 3.778 3.778 18.967
angles (deg): 90.00 90.00 90.00
Last column: magnetic moment on the atom in μB.
Positions (direct):
Mg: 0.500 0.500 0.301  0.01
Pu: 0.000 0.000 0.000  5.59
Mg: 0.500 0.500 0.500  0.00
Mg: 0.500 0.500 0.699  0.01
Dy: 0.000 0.000 0.400  0.07
Mg: 0.500 0.500 0.897  0.00
Mg: 0.500 0.500 0.103  0.00
Dy: 0.000 0.000 0.600  0.07
Dy: 0.000 0.000 0.202  0.00
Dy: 0.000 0.000 0.798  0.00

***

The following is a GGA-PBE calculation of an optimized crystal structure of Dy5PuMg4, from Alexandria.

Calculated values
V = 277.2 Å³ per cell
ΔE_f = -0.013 eV/atom

a b c (Å): 3.717 3.717 20.062
angles (deg): 90.00 90.00 90.00
Last column: magnetic moment on the atom in μB.
Positions (direct):
Mg: 0.000 0.000 0.596  0.00
Dy: 0.500 0.500 0.692  0.04
Pu: 0.000 0.000 0.000  5.57
Mg: 0.000 0.000 0.790  0.00
Dy: 0.500 0.500 0.888  0.20
Dy: 0.500 0.500 0.500  0.00
Mg: 0.000 0.000 0.210  0.00
Mg: 0.000 0.000 0.404  0.00
Dy: 0.500 0.500 0.308  0.04
Dy: 0.500 0.500 0.112  0.20

***

The following is a GGA-PBE calculation of an optimized crystal structure of DyPuMg, from Alexandria.

Calculated values
ΔE to the lowest computed polymorph = 0.000 eV per atom
V = 163.5 Å³ per cell
ΔE_f = 0.109 eV/atom

a b c (Å): 5.410 6.268 6.340
angles (deg): 60.97 89.99 64.44
Last column: magnetic moment on the atom in μB.
Positions (direct):
Mg: 0.653 0.693 0.102  -0.01
Dy: 0.322 0.355 0.377  0.16
Mg: 0.347 0.307 0.898  -0.01
Pu: 0.987 0.026 0.239  5.59
Dy: 0.678 0.645 0.623  0.16
Pu: 0.013 0.974 0.761  5.59

***

The following is a GGA-PBE calculation of an optimized crystal structure of DyPuMg4, from Alexandria.

Calculated values
V = 154.7 Å³ per cell
ΔE_f = 0.046 eV/atom

a b c (Å): 6.025 6.025 6.025
angles (deg): 60.00 60.00 60.00
Last column: magnetic moment on the atom in μB.
Positions (direct):
Dy: 0.000 0.000 0.000  0.09
Pu: 0.250 0.250 0.250  5.51
Mg: 0.625 0.125 0.625  -0.01
Mg: 0.125 0.625 0.625  -0.01
Mg: 0.625 0.625 0.125  -0.01
Mg: 0.625 0.625 0.625  -0.01

***

The following is a GGA-PBE calculation of an optimized crystal structure of DyPuMg, from Alexandria.

Calculated values
ΔE to the lowest computed polymorph = 0.033 eV per atom
V = 81.5 Å³ per cell
ΔE_f = 0.142 eV/atom

a b c (Å): 3.177 5.442 5.442
angles (deg): 120.00 90.00 90.00
Last column: magnetic moment on the atom in μB.
Positions (direct):
Mg: 0.001 0.000 0.000  -0.01
Pu: 0.299 0.667 0.333  5.55
Dy: 0.701 0.333 0.667  0.08

***

The following is a GGA-PBE calculation of an optimized crystal structure of DyPuMg2, from Alexandria.

Calculated values
ΔE to the lowest computed polymorph = 0.053 eV per atom
V = 106.9 Å³ per cell
ΔE_f = 0.135 eV/atom

a b c (Å): 4.887 4.677 4.677
angles (deg): 90.00 90.00 90.00
Last column: magnetic moment on the atom in μB.
Positions (direct):
Dy: 0.500 0.500 0.500  0.28
Pu: 0.500 0.000 0.000  5.56
Mg: 0.000 0.000 0.500  0.00
Mg: 0.000 0.500 0.000  0.00

***

The following is a GGA-PBE calculation of an optimized crystal structure of DyPuMgRu, from Alexandria.

Calculated values
V = 88.5 Å³ per cell
ΔE_f = -0.017 eV/atom

a b c (Å): 5.002 5.002 5.002
angles (deg): 60.00 60.00 60.00
Last column: magnetic moment on the atom in μB.
Positions (direct):
Mg: 0.250 0.250 0.250  0.02
Pu: 0.000 0.000 0.000  5.29
Ru: 0.750 0.750 0.750  -0.27
Dy: 0.500 0.500 0.500  0.14

***

The following is a GGA-PBE calculation of an optimized crystal structure of DyPuMgSc, from Alexandria.

Calculated values
V = 107.4 Å³ per cell
ΔE_f = 0.144 eV/atom

a b c (Å): 5.335 5.335 5.335
angles (deg): 60.00 60.00 60.00
Last column: magnetic moment on the atom in μB.
Positions (direct):
Mg: 0.500 0.500 0.500  -0.01
Sc: 0.000 0.000 0.000  0.20
Dy: 0.250 0.250 0.250  0.09
Pu: 0.750 0.750 0.750  5.41

***

The following is a GGA-PBE calculation of an optimized crystal structure of DyPuMgSi, from Alexandria.

Calculated values
raw formation energy = -14.3 kJ per mole of atoms
V = 92.7 Å³ per cell

a b c (Å): 5.081 5.081 5.081
angles (deg): 60.00 60.00 60.00
Last column: magnetic moment on the atom in μB.
Positions (direct):
Si: 0.250 0.250 0.250  -0.04
Dy: 0.500 0.500 0.500  0.23
Mg: 0.750 0.750 0.750  0.02
Pu: 0.000 0.000 0.000  5.42

***

The following is a GGA-PBE calculation of an optimized crystal structure of SmDyPuMg, from Alexandria.

Calculated values
V = 117.0 Å³ per cell
ΔE_f = 0.150 eV/atom

a b c (Å): 5.490 5.490 5.490
angles (deg): 60.00 60.00 60.00
Last column: magnetic moment on the atom in μB.
Positions (direct):
Sm: 0.000 0.000 0.000  0.12
Mg: 0.750 0.750 0.750  -0.01
Pu: 0.250 0.250 0.250  5.53
Dy: 0.500 0.500 0.500  0.17

***

The following is a GGA-PBE calculation of an optimized crystal structure of DyTmPuMg, from Alexandria.

Calculated values
V = 112.7 Å³ per cell
ΔE_f = 0.147 eV/atom

a b c (Å): 5.421 5.421 5.421
angles (deg): 60.00 60.00 60.00
Last column: magnetic moment on the atom in μB.
Positions (direct):
Tm: 0.750 0.750 0.750  0.21
Pu: 0.500 0.500 0.500  5.52
Mg: 0.000 0.000 0.000  -0.01
Dy: 0.250 0.250 0.250  0.21

***

The following is a GGA-PBE calculation of an optimized crystal structure of Rb3Dy2MgS6, from Alexandria.

Calculated values
raw formation energy = -146.7 kJ per mole of atoms
V = 323.4 Å³ per cell

a b c (Å): 6.969 6.969 8.033
angles (deg): 98.32 98.32 120.02
Positions (direct):
S: 0.609 0.937 0.810
S: 0.735 0.735 0.190
Mg: 0.000 0.000 0.000
S: 0.265 0.265 0.810
S: 0.937 0.609 0.810
Rb: 0.167 0.833 0.500
S: 0.063 0.391 0.190
Dy: 0.333 0.667 0.000
Rb: 0.500 0.500 0.500
S: 0.391 0.063 0.190
Dy: 0.667 0.333 0.000
Rb: 0.833 0.167 0.500

***

The following is a GGA-PBE calculation of an optimized crystal structure of Rb2DyMg2S4, from Alexandria.

Calculated values
raw formation energy = -131.9 kJ per mole of atoms
V = 240.6 Å³ per cell

a b c (Å): 4.091 7.957 8.018
angles (deg): 106.93 104.78 90.00
Last column: magnetic moment on the atom in μB.
Positions (direct):
Mg: 0.329 0.023 0.658  0.01
Rb: 0.875 0.465 0.750  0.01
S: 0.479 0.228 0.958  0.00
Rb: 0.125 0.535 0.250  0.01
Dy: 0.000 0.000 0.000  0.28
S: 0.521 0.772 0.042  0.00
S: 0.800 0.839 0.599  0.00
Mg: 0.671 0.977 0.342  0.01
S: 0.200 0.161 0.401  0.00

***

The following is a GGA-PBE calculation of an optimized crystal structure of RbDyMgS3, from Alexandria.

Calculated values
raw formation energy = -161.3 kJ per mole of atoms
V = 348.4 Å³ per cell

a b c (Å): 4.124 9.000 9.911
angles (deg): 108.70 90.00 90.00
Positions (direct):
S: 0.750 0.469 0.149
S: 0.750 0.876 0.139
Dy: 0.250 0.666 0.134
Mg: 0.750 0.915 0.389
S: 0.250 0.531 0.851
S: 0.750 0.195 0.547
S: 0.250 0.124 0.861
Rb: 0.250 0.210 0.227
Rb: 0.750 0.790 0.773
Mg: 0.250 0.085 0.611
S: 0.250 0.805 0.453
Dy: 0.750 0.334 0.866

***

The following is a GGA-PBE calculation of an optimized crystal structure of Rb3Dy3MgTe8, from Alexandria.

Calculated values
raw formation energy = -107.9 kJ per mole of atoms
V = 588.5 Å³ per cell

a b c (Å): 8.749 8.724 10.226
angles (deg): 115.05 89.99 120.15
Positions (direct):
Dy: 0.500 0.000 0.500
Te: 0.768 0.035 0.303
Te: 0.267 0.035 0.303
Rb: 0.500 0.500 0.000
Rb: 0.000 0.000 0.000
Te: 0.231 0.463 0.696
Te: 0.266 0.532 0.299
Te: 0.769 0.537 0.304
Te: 0.734 0.468 0.701
Rb: 0.000 0.500 0.000
Dy: 0.500 0.500 0.500
Te: 0.733 0.965 0.697
Mg: 0.000 0.000 0.500
Te: 0.232 0.965 0.697
Dy: 0.000 0.500 0.500

***

The following is a GGA-PBE calculation of an optimized crystal structure of DyMgRe, from Alexandria.

Calculated values
V = 157.4 Å³ per cell
ΔE_f = 0.392 eV/atom

a b c (Å): 4.872 4.120 10.025
angles (deg): 81.74 75.94 53.75
Positions (direct):
Dy: 0.398 0.000 0.203
Re: 0.822 0.356 0.000
Re: 0.178 0.644 0.000
Mg: 0.250 0.500 0.500
Dy: 0.602 0.000 0.797
Mg: 0.750 0.500 0.500

***

The following is a GGA-PBE calculation of an optimized crystal structure of DyMgZrRe, from Alexandria.

Calculated values
V = 83.0 Å³ per cell
ΔE_f = 0.018 eV/atom

a b c (Å): 4.896 4.896 4.896
angles (deg): 60.00 60.00 60.00
Positions (direct):
Dy: 0.250 0.250 0.250
Mg: 0.000 0.000 0.000
Zr: 0.750 0.750 0.750
Re: 0.500 0.500 0.500

***

The following is a GGA-PBE calculation of an optimized crystal structure of DyMg3Rh, from Alexandria.

Calculated values
V = 220.3 Å³ per cell
ΔE_f = -0.379 eV/atom

a b c (Å): 5.373 5.826 7.760
angles (deg): 90.00 114.93 90.00
Positions (direct):
Mg: 0.888 0.448 0.171
Rh: 0.882 0.448 0.814
Mg: 0.717 0.199 0.488
Mg: 0.717 0.696 0.488
Dy: 0.720 0.948 0.875
Dy: 0.315 0.448 0.686
Mg: 0.317 0.196 0.073
Mg: 0.147 0.948 0.390
Rh: 0.152 0.948 0.747
Mg: 0.317 0.699 0.073